1.
The following is a PBE calculation of a relaxed structure of BaCaZnAu, from the Alexandria database.

Results
energy of formation from the pure elements: -469.8 meV/atom
crystal system: orthorhombic
size of the total moment: 0.0 μB/cell
SG: No. 38

CIF file:
```
data_BaCaZnAu
_chemical_formula_sum 'Ba1 Ca1 Zn1 Au1'
_cell_length_a 4.445
_cell_length_b 4.558
_cell_length_c 6.532
_cell_angle_alpha 90.00
_cell_angle_beta 109.89
_cell_angle_gamma 90.00
_space_group_name_H-M_alt 'P 1'
_space_group_IT_number 1
loop_
_space_group_symop_operation_xyz
'x,y,z'
loop_
_atom_site_label
_atom_site_type_symbol
_atom_site_fract_x
_atom_site_fract_y
_atom_site_fract_z
_atom_site_occupancy
Ba1 Ba 0.849 0.500 0.699 1
Ca1 Ca 0.132 0.000 0.264 1
Zn1 Zn 0.449 0.000 0.898 1
Au1 Au 0.570 0.500 0.140 1
```



2.
The following is a PBE calculation of a relaxed structure of BaCaZn2Au2, from the Alexandria database.

Results
energy of formation from the pure elements: -584.0 meV/atom
crystal system: trigonal
size of the total moment: 0.0 μB/cell
SG: No. 164

CIF file:
```
data_BaCaZn2Au2
_chemical_formula_sum 'Ba1 Ca1 Zn2 Au2'
_cell_length_a 4.702
_cell_length_b 4.702
_cell_length_c 7.921
_cell_angle_alpha 90.00
_cell_angle_beta 90.00
_cell_angle_gamma 120.00
_space_group_name_H-M_alt 'P 1'
_space_group_IT_number 1
loop_
_space_group_symop_operation_xyz
'x,y,z'
loop_
_atom_site_label
_atom_site_type_symbol
_atom_site_fract_x
_atom_site_fract_y
_atom_site_fract_z
_atom_site_occupancy
Ba1 Ba 0.000 0.000 0.000 1
Ca1 Ca 0.000 0.000 0.500 1
Zn1 Zn 0.667 0.333 0.698 1
Zn2 Zn 0.333 0.667 0.302 1
Au1 Au 0.667 0.333 0.300 1
Au2 Au 0.333 0.667 0.700 1
```



3.
The following is a PBE calculation of a relaxed structure of BaCa2ZrAu, from the Alexandria database.

Results
energy of formation from the pure elements: 265.0 meV/atom
crystal system: tetragonal
size of the total moment: 2.8 μB/cell
SG: No. 123

CIF file:
```
data_BaCa2ZrAu
_chemical_formula_sum 'Ba1 Ca2 Zr1 Au1'
_cell_length_a 5.709
_cell_length_b 6.147
_cell_length_c 5.709
_cell_angle_alpha 90.00
_cell_angle_beta 90.00
_cell_angle_gamma 90.00
_space_group_name_H-M_alt 'P 1'
_space_group_IT_number 1
loop_
_space_group_symop_operation_xyz
'x,y,z'
loop_
_atom_site_label
_atom_site_type_symbol
_atom_site_fract_x
_atom_site_fract_y
_atom_site_fract_z
_atom_site_occupancy
Ca1 Ca 0.000 0.000 0.500 1
Ca2 Ca 0.500 0.000 0.000 1
Au1 Au 0.000 0.000 0.000 1
Ba1 Ba 0.000 0.500 0.000 1
Zr1 Zr 0.500 0.500 0.500 1
```